A plane-wave DFT calculation with PBE was carried out for crystalline Na2GaSn2 at its relaxed geometry.

Structure (extended XYZ):
```
10
Lattice="-3.0607 6.9051 3.1653 3.0607 -6.9051 3.1653 3.0607 6.9051 -3.1653" Properties=species:S:1:pos:R:3 pbc="T T T"
Na 1.1387 2.4667 0.0000
Na 1.1387 -2.4667 3.1653
Na 1.9220 9.3719 0.0000
Na 1.9220 4.4384 3.1653
Ga 0.0000 0.0000 1.5827
Ga 0.0000 0.0000 4.7480
Sn 4.0555 1.1482 0.0000
Sn 0.9948 5.7570 0.0000
Sn 2.0659 1.1482 3.1653
Sn -0.9948 5.7570 3.1653
```

Values from the calculation:
E (eV/atom): -2.859
Formation enthalpy at 0 K (eV per atom): -0.13
Space group: Ibam
Energy above the lowest structure with this stoichiometry (meV/atom): 45
DOS at the Fermi energy (states/eV/f.u.): 1.34